RbFeBr2: relaxed, PBE.

```
data_RbFeBr2
_chemical_formula_sum 'Rb4 Fe4 Br8'
_symmetry_space_group_name_H-M 'I -4 2 d'
_symmetry_Int_Tables_number 122
_symmetry_space_group_name_Hall 'I -4 2bw'
_cell_length_a 7.9031
_cell_length_b 7.9031
_cell_length_c 7.9426
_cell_angle_alpha 90.00
_cell_angle_beta 90.00
_cell_angle_gamma 90.00
loop_
_atom_site_label
_atom_site_type_symbol
_atom_site_fract_x
_atom_site_fract_y
_atom_site_fract_z
Rb1 Rb 0.0000 0.0000 0.0000
Fe1 Fe 0.0000 0.0000 0.5000
Br1 Br 0.1514 0.2500 0.6250
```

Results
As for the uncorrected formation energy: -641 meV/atom. The relative energy among the computed polymorphs comes out at 0 meV/atom. The calculation puts the final energy at -0.282 Ry per atom.